# PBE-GGA AlCoTe2N, relaxed
# Raw formation energy   0.647 eV per atom
# Final energy   -4.444 eV/atom
# Calculated volume   106.60 Å³/cell
# D(E_F)   6.37 states/eV/f.u.
# Excess energy over the best structure of this formula in the dataset   370 meV per atom
data_AlCoTe2N
_cell_length_a 5.588
_cell_length_b 5.588
_cell_length_c 3.414
_cell_angle_alpha 90.00
_cell_angle_beta 90.00
_cell_angle_gamma 90.00
_space_group_name_H-M_alt 'P 4/m m m'
_space_group_IT_number 123
_space_group_name_Hall '-P 4 2'
loop_
_atom_site_label
_atom_site_type_symbol
_atom_site_fract_x
_atom_site_fract_y
_atom_site_fract_z
Al1 Al 0.000 0.000 0.000
Co1 Co 0.500 0.500 0.500
Te1 Te 0.000 0.500 0.000
N1 N 0.000 0.000 0.500


# PBE-GGA Tl2As, relaxed
# Final energy   -3.033 eV/atom
# Calculated volume   365.39 Å³/cell
# D(E_F)   1.09 states/eV/f.u.
# Excess energy over the best structure of this formula in the dataset   74 meV per atom
data_Tl2As
_cell_length_a 3.491
_cell_length_b 3.491
_cell_length_c 29.986
_cell_angle_alpha 90.00
_cell_angle_beta 90.00
_cell_angle_gamma 90.00
_space_group_name_H-M_alt 'I 41/a m d'
_space_group_IT_number 141
loop_
_space_group_symop_operation_xyz
'x,y,z'
'-x,-y,-z'
'-y+1/4,x+3/4,z+1/4'
'y+1/4,-x+3/4,-z+1/4'
'-x+1/2,-y,z+1/2'
'x+1/2,y,-z+1/2'
'y+1/4,-x+1/4,z+3/4'
'-y+1/4,x+1/4,-z+3/4'
'x,-y,-z'
'-x,y,z'
'-y+1/4,-x+1/4,-z+3/4'
'y+1/4,x+1/4,z+3/4'
'-x+1/2,y,-z+1/2'
'x+1/2,-y,z+1/2'
'y+1/4,x+3/4,-z+1/4'
'-y+1/4,-x+3/4,z+1/4'
'x+1/2,y+1/2,z+1/2'
'-x+1/2,-y+1/2,-z+1/2'
'-y+3/4,x+1/4,z+3/4'
'y+3/4,-x+1/4,-z+3/4'
'-x,-y+1/2,z'
'x,y+1/2,-z'
'y+3/4,-x+3/4,z+1/4'
'-y+3/4,x+3/4,-z+1/4'
'x+1/2,-y+1/2,-z+1/2'
'-x+1/2,y+1/2,z+1/2'
'-y+3/4,-x+3/4,-z+1/4'
'y+3/4,x+3/4,z+1/4'
'-x,y+1/2,-z'
'x,-y+1/2,z'
'y+3/4,x+1/4,-z+3/4'
'-y+3/4,-x+1/4,z+3/4'
loop_
_atom_site_label
_atom_site_type_symbol
_atom_site_fract_x
_atom_site_fract_y
_atom_site_fract_z
Tl1 Tl 0.000 0.250 0.307
As1 As 0.000 0.250 0.875


- Which formula does entry 1 have?
  AlCoTe2N


Repeat the first record exactly.
# PBE-GGA AlCoTe2N, relaxed
# Raw formation energy   0.647 eV per atom
# Final energy   -4.444 eV/atom
# Calculated volume   106.60 Å³/cell
# D(E_F)   6.37 states/eV/f.u.
# Excess energy over the best structure of this formula in the dataset   370 meV per atom
data_AlCoTe2N
_cell_length_a 5.588
_cell_length_b 5.588
_cell_length_c 3.414
_cell_angle_alpha 90.00
_cell_angle_beta 90.00
_cell_angle_gamma 90.00
_space_group_name_H-M_alt 'P 4/m m m'
_space_group_IT_number 123
_space_group_name_Hall '-P 4 2'
loop_
_atom_site_label
_atom_site_type_symbol
_atom_site_fract_x
_atom_site_fract_y
_atom_site_fract_z
Al1 Al 0.000 0.000 0.000
Co1 Co 0.500 0.500 0.500
Te1 Te 0.000 0.500 0.000
N1 N 0.000 0.000 0.500